! Pm6GaPd2 PBE optimized geometry; values from VASP
&SYSTEM
  ibrav = 0, nat = 18, ntyp = 3
/
ATOMIC_SPECIES
Pm 145.00 Pm.upf
Ga 69.72 Ga.upf
Pd 106.42 Pd.upf
CELL_PARAMETERS angstrom
-4.791 5.016 5.266
4.791 -5.016 5.266
4.791 5.016 -5.266
ATOMIC_POSITIONS angstrom
Pm 4.791 3.098 -2.741
Pm 2.717 1.790 0.000
Pm 6.866 1.790 0.000
Pm 1.928 5.016 -1.801
Pm 2.863 0.000 3.465
Pm 0.000 1.918 2.526
Pm 4.791 3.098 2.741
Pm 1.928 5.016 1.801
Pm 2.863 0.000 7.067
Pm -2.074 3.226 5.266
Pm 2.074 3.226 5.266
Pm 0.000 1.918 8.007
Ga 0.000 0.000 0.000
Ga 0.000 0.000 5.266
Pd 4.791 0.000 1.385
Pd 0.000 3.469 0.000
Pd 0.000 6.563 0.000
Pd 0.000 5.016 3.881
! Electronic total energy, Ry/atom: -0.3774
! Energy of formation from the pure elements, eV/atom: -0.48